DFT (GGA-PBE) results for crystalline AgRu3S at its relaxed geometry.

```
AgRu3S
1.0
4.349 0.000 0.000
0.000 4.349 0.000
0.000 0.000 4.349
Ru S Ag
3 1 1
direct
0.000 0.500 0.000
0.000 0.000 0.500
0.500 0.000 0.000
0.000 0.000 0.000
0.500 0.500 0.500
```

E above lowest polymorph = 0 meV/atom
M_tot = 0.419 μB per atom
ΔE_f (raw) = 536 meV per atom


DFT (GGA-PBE) results for crystalline AgRu2S at its relaxed geometry.

```
AgRu2S
1.0
6.877 0.000 0.000
0.000 6.877 0.000
3.439 3.439 2.683
Ru S Ag
4 2 2
direct
0.549 0.125 0.250
0.201 0.625 0.250
0.375 0.451 0.750
0.875 0.799 0.750
0.500 0.500 0.000
0.250 0.750 0.500
0.000 0.000 0.000
0.750 0.250 0.500
```

M_tot = 0.000 μB per atom
ΔE_f (raw) = 355 meV per atom


DFT (GGA-PBE) results for crystalline Ag3RuS at its relaxed geometry.

```
Ag3RuS
1.0
-3.811 1.031 -3.168
-3.329 -0.968 3.689
0.146 4.861 1.406
Ru S Ag
1 1 3
direct
0.000 0.000 0.000
0.500 0.500 0.500
0.000 0.500 0.000
0.000 0.000 0.500
0.500 0.000 0.000
```

E above lowest polymorph = 469 meV/atom
M_tot = 0.597 μB per atom
ΔE_f (raw) = 1482 meV per atom


DFT (GGA-PBE) results for crystalline AgRu3S at its relaxed geometry.

```
AgRu3S
1.0
4.893 0.000 0.000
0.000 4.893 0.000
0.000 0.000 4.893
Ru S Ag
3 1 1
direct
0.000 0.500 0.000
0.000 0.000 0.500
0.500 0.000 0.000
0.500 0.500 0.500
0.000 0.000 0.000
```

E above lowest polymorph = 1918 meV/atom
M_tot = 1.631 μB per atom
ΔE_f (raw) = 2454 meV per atom


DFT (GGA-PBE) results for crystalline Ag3RuS at its relaxed geometry.

```
Ag3RuS
1.0
-0.543 -2.093 4.160
4.389 1.170 1.161
-1.557 4.029 1.824
Ru S Ag
1 1 3
direct
0.500 0.500 0.500
0.000 0.000 0.000
0.000 0.500 0.000
0.000 0.000 0.500
0.500 0.000 0.000
```

E above lowest polymorph = 0 meV/atom
M_tot = 0.327 μB per atom
ΔE_f (raw) = 1013 meV per atom


DFT (GGA-PBE) results for crystalline Ag4SbRu at its relaxed geometry.

```
Ag4SbRu
1.0
-3.474 -4.194 0.400
-4.254 0.294 3.411
-5.067 0.452 -1.986
Ag Sb Ru
4 1 1
direct
0.874 0.375 0.375
0.375 0.375 0.874
0.375 0.874 0.375
0.375 0.375 0.375
0.000 0.000 0.000
0.750 0.750 0.750
```

M_tot = 0.274 μB per atom
ΔE_f (raw) = 529 meV per atom


DFT (GGA-PBE) results for crystalline Ag3SbRu at its relaxed geometry.

```
Ag3SbRu
1.0
-1.602 2.327 -4.178
-4.667 0.204 1.903
1.047 4.470 2.089
Sb Ag Ru
1 3 1
direct
0.500 0.500 0.500
0.000 0.500 0.000
0.000 0.000 0.500
0.500 0.000 0.000
0.000 0.000 0.000
```

E above lowest polymorph = 0 meV/atom
M_tot = 0.440 μB per atom
ΔE_f (raw) = 1226 meV per atom


DFT (GGA-PBE) results for crystalline AgSbRu at its relaxed geometry.

```
AgSbRu
1.0
3.145 0.000 0.000
-1.572 2.724 0.000
0.000 0.000 6.753
Ag Ru Sb
1 1 1
direct
0.000 0.000 0.017
0.667 0.333 0.350
0.333 0.667 0.633
```

E above lowest polymorph = 385 meV/atom
M_tot = 0.000 μB per atom
ΔE_f (raw) = 372 meV per atom


DFT (GGA-PBE) results for crystalline AgSb3Ru at its relaxed geometry.

```
AgSb3Ru
1.0
5.132 0.000 0.000
0.000 5.132 0.000
0.000 0.000 5.132
Sb Ag Ru
3 1 1
direct
0.000 0.500 0.000
0.000 0.000 0.500
0.500 0.000 0.000
0.500 0.500 0.500
0.000 0.000 0.000
```

E above lowest polymorph = 0 meV/atom
M_tot = 0.000 μB per atom
ΔE_f (raw) = 489 meV per atom


DFT (GGA-PBE) results for crystalline AgSbRu3 at its relaxed geometry.

```
AgSbRu3
1.0
-1.837 3.365 2.956
-3.980 0.240 -2.747
-2.055 -3.473 2.675
Sb Ag Ru
1 1 3
direct
0.000 0.000 0.000
0.500 0.500 0.500
0.000 0.500 0.000
0.000 0.000 0.500
0.500 0.000 0.000
```

E above lowest polymorph = 0 meV/atom
M_tot = 0.755 μB per atom
ΔE_f (raw) = 1588 meV per atom


DFT (GGA-PBE) results for crystalline Ag2SbRu4 at its relaxed geometry.

```
Ag2SbRu4
1.0
4.829 0.000 0.000
0.000 4.829 0.000
2.414 2.414 6.594
Sb Ag Ru
1 2 4
direct
0.000 0.000 0.000
0.609 0.609 0.782
0.391 0.391 0.218
0.808 0.808 0.384
0.192 0.192 0.616
0.000 0.500 0.000
0.500 0.000 0.000
```

M_tot = 0.836 μB per atom
ΔE_f (raw) = 1579 meV per atom


DFT (GGA-PBE) results for crystalline AgSbRu at its relaxed geometry.

```
AgSbRu
1.0
-2.477 -2.112 3.028
4.040 -1.542 -1.035
1.318 1.858 2.374
Ag Ru Sb
1 1 1
direct
0.000 0.000 0.998
0.333 0.667 0.493
0.667 0.333 0.509
```

E above lowest polymorph = 274 meV/atom
M_tot = 0.000 μB per atom
ΔE_f (raw) = 261 meV per atom